1.
A geometry-optimized CsRbTcCl6 structure, computed with PBE. Values from VASP.

Calculated values
The calculation puts the formation energy from raw total energies at -127 kJ per mole of atoms. For the total energy, the calculation gives -3.907 eV per atom.

```
&SYSTEM
  ibrav = 0, nat = 18, ntyp = 4
/
ATOMIC_SPECIES
Cs 132.91 Cs.upf
Rb 85.47 Rb.upf
Tc 98.00 Tc.upf
Cl 35.45 Cl.upf
ATOMIC_POSITIONS crystal
Cs 0.000 0.000 0.000
Cs 0.000 0.000 0.500
Rb 0.333 0.667 0.250
Rb 0.667 0.333 0.750
Tc 0.333 0.667 0.750
Tc 0.667 0.333 0.250
Cl 0.086 0.421 0.642
Cl 0.086 0.665 0.858
Cl 0.335 0.421 0.858
Cl 0.335 0.914 0.642
Cl 0.421 0.086 0.142
Cl 0.421 0.335 0.358
Cl 0.579 0.665 0.642
Cl 0.579 0.914 0.858
Cl 0.665 0.086 0.358
Cl 0.665 0.579 0.142
Cl 0.914 0.335 0.142
Cl 0.914 0.579 0.358
CELL_PARAMETERS angstrom
7.871 0.000 0.000
-3.936 6.817 0.000
0.000 0.000 12.774
```

2.
A geometry-optimized Cs2RbTeCl6 structure, computed with PBE. Values from VASP.

Calculated values
The relative energy among the computed polymorphs comes out at 0.5 kJ/mol of atoms. The calculation puts the formation energy from raw total energies at -126 kJ per mole of atoms. For the total energy, the calculation gives -2.998 eV per atom. For the density of states at the Fermi level, the calculation gives 8.0 states/eV per cell.

```
&SYSTEM
  ibrav = 0, nat = 10, ntyp = 4
/
ATOMIC_SPECIES
Cs 132.91 Cs.upf
Rb 85.47 Rb.upf
Te 127.60 Te.upf
Cl 35.45 Cl.upf
ATOMIC_POSITIONS crystal
Cs 0.250 0.750 0.500
Cs 0.750 0.250 0.500
Rb 0.000 0.000 0.000
Te 0.500 0.500 0.000
Cl 0.264 0.264 0.528
Cl 0.264 0.736 0.000
Cl 0.275 0.275 0.000
Cl 0.725 0.725 0.000
Cl 0.736 0.264 0.000
Cl 0.736 0.736 0.472
CELL_PARAMETERS angstrom
-4.192 4.192 5.682
4.192 -4.192 5.682
4.192 4.192 -5.682
```

3.
A geometry-optimized CsRb2TeCl6 structure, computed with PBE. Values from VASP.

Calculated values
The calculation puts the formation energy from raw total energies at -123 kJ per mole of atoms. For the total energy, the calculation gives -2.973 eV per atom. For the density of states at the Fermi level, the calculation gives 0.0 states/eV per cell.

```
&SYSTEM
  ibrav = 0, nat = 10, ntyp = 4
/
ATOMIC_SPECIES
Cs 132.91 Cs.upf
Rb 85.47 Rb.upf
Te 127.60 Te.upf
Cl 35.45 Cl.upf
ATOMIC_POSITIONS crystal
Cs 0.000 0.000 0.000
Rb 0.250 0.750 0.500
Rb 0.750 0.250 0.500
Te 0.500 0.500 0.000
Cl 0.255 0.255 0.000
Cl 0.279 0.279 0.558
Cl 0.279 0.721 0.000
Cl 0.721 0.279 0.000
Cl 0.721 0.721 0.442
Cl 0.745 0.745 0.000
CELL_PARAMETERS angstrom
-4.088 4.088 6.422
4.088 -4.088 6.422
4.088 4.088 -6.422
```

Q: Which value of total energy does entry 2 give?
A: -2.998 eV per atom

Q: Which value of formation energy from raw total energies does entry 3 give?
A: -123 kJ per mole of atoms

Q: Number 2 is which compound?
A: Cs2RbTeCl6